No. 1
This record from Alexandria describes a geometry-optimized Cd2Ga2Bi structure. The functional is PBE.

a = 4.1817 Å, b = 4.1817 Å, c = 7.5117 Å
α = 73.84°, β = 73.84°, γ = 90.00°
Element x y z (fractional)
Bi  0.0000  0.0000  0.0000
Ga  0.7500  0.2500  0.5000
Ga  0.2500  0.7500  0.5000
Cd  0.3954  0.3954  0.2092
Cd  0.6046  0.6046  0.7908

Results
Offset from the most stable computed form   0.018 eV/atom
Density of states at the Fermi level   0.39 states/eV per atom
Formation energy from the elements   49.7 kJ/mol of formula units
Uncorrected energy   -2.250 eV per atom

No. 2
This record from Alexandria describes a geometry-optimized LaUTiN3 structure. The functional is PBE.

a = 3.5857 Å, b = 7.1449 Å, c = 8.6221 Å
α = 103.44°, β = 90.00°, γ = 90.00°
Element x y z (fractional)
La  0.7500  0.8291  0.8484
La  0.2500  0.1709  0.1516
U  0.2500  0.6622  0.1492
U  0.7500  0.3378  0.8508
Ti  0.2500  0.0721  0.6130
Ti  0.7500  0.9279  0.3870
N  0.2500  0.8342  0.4280
N  0.7500  0.8903  0.1452
N  0.7500  0.4424  0.1156
N  0.7500  0.1658  0.5720
N  0.2500  0.5576  0.8844
N  0.2500  0.1097  0.8548

Results
E_form (uncorrected)   -114.8 kJ/mol of atoms
Density of states at the Fermi level   0.93 states/eV per atom
Uncorrected energy   -9.371 eV per atom

No. 3
This record from Alexandria describes a geometry-optimized Sr2SbW structure. The functional is PBE.

a = 6.3457 Å, b = 6.3457 Å, c = 5.7542 Å
α = 70.85°, β = 70.85°, γ = 33.46°
Element x y z (fractional)
Sb  0.2082  0.2082  0.2478
Sr  0.9698  0.9698  0.0578
Sr  0.7759  0.7759  0.6983
W  0.5461  0.5461  0.4961

Results
E_form (uncorrected)   39.5 kJ/mol of atoms
Density of states at the Fermi level   0.85 states/eV per atom
Uncorrected energy   -4.700 eV per atom

No. 4
This record from Alexandria describes a geometry-optimized KAlTl structure. The functional is PBE.

a = 5.2767 Å, b = 5.2767 Å, c = 5.2767 Å
α = 60.00°, β = 60.00°, γ = 60.00°
Element x y z (fractional)
Tl  0.7500  0.7500  0.7500
K  0.5000  0.5000  0.5000
Al  0.0000  0.0000  0.0000

Results
Offset from the most stable computed form   0.312 eV/atom
Density of states at the Fermi level   1.18 states/eV per atom
Formation energy from the elements   94.7 kJ/mol of formula units
Uncorrected energy   -2.075 eV per atom

No. 5
This record from Alexandria describes a geometry-optimized TbCe2Hg5 structure. The functional is PBE.

a = 5.1172 Å, b = 5.1172 Å, c = 8.6713 Å
α = 107.16°, β = 107.16°, γ = 90.00°
Element x y z (fractional)
Tb  0.0000  0.0000  0.0000
Ce  0.7369  0.7369  0.4738
Ce  0.2631  0.2631  0.5262
Hg  0.5000  0.5000  0.0000
Hg  0.8815  0.3815  0.7630
Hg  0.3815  0.8815  0.7630
Hg  0.1185  0.6185  0.2370
Hg  0.6185  0.1185  0.2370

Results
Density of states at the Fermi level   2.13 states/eV per atom
Formation energy from the elements   -259.6 kJ/mol of formula units
Uncorrected energy   -2.587 eV per atom

No. 6
This record from Alexandria describes a geometry-optimized CdCu2F6 structure. The functional is PBE.

a = 3.8075 Å, b = 5.8042 Å, c = 6.4911 Å
α = 71.14°, β = 72.95°, γ = 70.85°
Element x y z (fractional)
Cd  0.0000  0.5000  0.5000
Cu  0.1760  0.7605  0.8876
Cu  0.8240  0.2395  0.1124
F  0.6935  0.7235  0.8895
F  0.3065  0.2765  0.1105
F  0.0071  0.8006  0.1851
F  0.3525  0.6946  0.6003
F  0.9929  0.1994  0.8149
F  0.6475  0.3054  0.3997

Results
E_form (uncorrected)   -165.5 kJ/mol of atoms
Density of states at the Fermi level   0.26 states/eV per atom
Uncorrected energy   -3.974 eV per atom

No. 7
This record from Alexandria describes a geometry-optimized Np3S3O2 structure. The functional is PBE.

a = 3.6281 Å, b = 3.9566 Å, c = 10.5337 Å
α = 100.82°, β = 99.92°, γ = 90.00°
Element x y z (fractional)
Np  0.1862  0.1862  0.3723
Np  0.0000  0.5000  0.0000
Np  0.8138  0.8138  0.6277
S  0.6204  0.6204  0.2409
S  0.3796  0.3796  0.7591
S  0.5000  0.0000  0.0000
O  0.7526  0.2526  0.5051
O  0.2474  0.7474  0.4949

Results
E_form (uncorrected)   -188.6 kJ/mol of atoms
Density of states at the Fermi level   2.78 states/eV per atom
Uncorrected energy   -9.594 eV per atom

No. 8
This record from Alexandria describes a geometry-optimized BaAlCu2Au structure. The functional is PBE.

a = 4.6967 Å, b = 6.4765 Å, c = 4.6967 Å
α = 90.00°, β = 90.00°, γ = 90.00°
Element x y z (fractional)
Au  0.5000  0.5000  0.5000
Ba  0.0000  0.5000  0.0000
Cu  0.0000  0.0000  0.5000
Cu  0.5000  0.0000  0.0000
Al  0.0000  0.0000  0.0000

Results
Density of states at the Fermi level   0.52 states/eV per atom
Formation energy from the elements   161.0 kJ/mol of formula units
Uncorrected energy   -3.093 eV per atom

No. 9
This record from Alexandria describes a geometry-optimized CaCdGe2Au5 structure. The functional is PBE.

a = 4.6557 Å, b = 4.6557 Å, c = 10.0945 Å
α = 90.00°, β = 90.00°, γ = 90.00°
Element x y z (fractional)
Ca  0.0000  0.0000  0.5000
Cd  0.0000  0.0000  0.0000
Ge  0.5000  0.5000  0.2578
Ge  0.5000  0.5000  0.7422
Au  0.0000  0.5000  0.1628
Au  0.5000  0.0000  0.1628
Au  0.0000  0.5000  0.8372
Au  0.5000  0.0000  0.8372
Au  0.5000  0.5000  0.5000

Results
Density of states at the Fermi level   0.47 states/eV per atom
Formation energy from the elements   -122.6 kJ/mol of formula units
Uncorrected energy   -3.312 eV per atom

No. 10
This record from Alexandria describes a geometry-optimized K2Cd3SnAu4 structure. The functional is PBE.

a = 4.9203 Å, b = 4.9203 Å, c = 11.1286 Å
α = 90.00°, β = 90.00°, γ = 90.00°
Element x y z (fractional)
K  0.5000  0.0000  0.2380
K  0.0000  0.5000  0.7620
Cd  0.0000  0.0000  0.5000
Cd  0.5000  0.0000  0.8717
Cd  0.0000  0.5000  0.1283
Sn  0.5000  0.5000  0.5000
Au  0.5000  0.5000  0.0000
Au  0.0000  0.0000  0.0000
Au  0.5000  0.0000  0.6223
Au  0.0000  0.5000  0.3777

Results
Density of states at the Fermi level   0.44 states/eV per atom
Formation energy from the elements   -241.9 kJ/mol of formula units
Uncorrected energy   -2.456 eV per atom

No. 11
This record from Alexandria describes a geometry-optimized ScTlZn2 structure. The functional is PBE.

a = 8.9455 Å, b = 8.9455 Å, c = 8.9455 Å
α = 21.69°, β = 21.69°, γ = 21.69°
Element x y z (fractional)
Sc  0.5083  0.5083  0.5083
Tl  0.7455  0.7455  0.7455
Zn  0.9910  0.9910  0.9910
Zn  0.2552  0.2552  0.2552

Results
Offset from the most stable computed form   0.227 eV/atom
Density of states at the Fermi level   0.90 states/eV per atom
Formation energy from the elements   22.2 kJ/mol of formula units
Uncorrected energy   -2.754 eV per atom

No. 12
This record from Alexandria describes a geometry-optimized Tl2TePb2O6 structure. The functional is PBE.

a = 6.1227 Å, b = 6.1227 Å, c = 6.5989 Å
α = 97.41°, β = 97.41°, γ = 113.56°
Element x y z (fractional)
Tl  0.8250  0.1750  0.0000
Tl  0.1750  0.8250  0.0000
Te  0.0000  0.0000  0.5000
Pb  0.3346  0.6654  0.5000
Pb  0.6654  0.3346  0.5000
O  0.8418  0.8418  0.7174
O  0.0376  0.3185  0.6517
O  0.1582  0.1582  0.2826
O  0.3185  0.0376  0.6517
O  0.9624  0.6815  0.3483
O  0.6815  0.9624  0.3483

Results
E_form (uncorrected)   -93.0 kJ/mol of atoms
Density of states at the Fermi level   0.00 states/eV per atom
Uncorrected energy   -5.059 eV per atom

The ρ results, record by record, are as follows: 7.88 7.22 6.65 4.32 11.60 4.68 9.53 5.68 9.73 8.15 7.36 7.89 g/cm3.